(1)
5
Lattice="-3.0522 3.0522 3.0522 3.0522 -3.0522 3.0522 3.0522 3.0522 -3.0522" Properties=species:S:1:pos:R:3 comment="GGA-PBE Sc4Co, optimized geometry" polymorph_energy_ev_per_fu=1.919 density_g_cm3=3.49 m_tot_mub_per_cell=0.00 pbc="T T T"
Sc 1.5261 -1.5261 1.5261
Sc 1.5261 1.5261 -1.5261
Sc 1.5261 1.5261 1.5261
Sc -1.5261 1.5261 1.5261
Co 0.0000 0.0000 0.0000

***

(2)
4
Lattice="5.5258 -0.0012 0.0000 1.4472 5.3329 0.0000 -3.4865 -2.6658 3.3573" Properties=species:S:1:pos:R:3 comment="GGA-PBE KCdAg2, optimized geometry" polymorph_energy_ev_per_fu=0.804 density_g_cm3=6.16 m_tot_mub_per_cell=0.00 pbc="T T T"
Ag 0.0000 0.0000 0.0000
Ag 0.7236 2.6664 1.6787
Cd 3.4865 2.6658 0.0000
K 2.7629 -0.0006 1.6787

***

(3)
11
Lattice="4.6163 -0.0435 -0.0557 -2.2326 6.3029 0.1978 -2.2326 -1.3362 6.1628" Properties=species:S:1:pos:R:3 comment="GGA-PBE LiTi3Pd7, optimized geometry" density_g_cm3=8.31 dft_energy_ev_per_atom=-5.991 m_tot_mub_per_cell=0.00 pbc="T T T"
Li 0.0755 2.4616 3.1524
Ti -2.2326 4.5344 1.5787
Ti 2.3081 -0.0218 -0.0279
Ti -2.2326 0.4323 4.7818
Pd 0.0177 0.8907 1.1406
Pd 0.0479 -0.7211 3.7613
Pd 0.1032 1.0993 6.0925
Pd 0.0479 3.8239 0.2123
Pd -2.2326 2.4834 3.1803
Pd 0.1032 5.6443 2.5435
Pd 0.1334 4.0325 5.1642

***

(4)
16
Lattice="7.7028 0.0000 -3.6361 -1.7147 7.5015 -3.6325 -0.1963 -0.2413 9.5611" Properties=species:S:1:pos:R:3 comment="GGA-PBE Ac5TlPt2, optimized geometry" density_g_cm3=10.66 dft_energy_ev_per_atom=-5.071 m_tot_mub_per_cell=0.00 pbc="T T T"
Ac 2.6801 5.1091 2.4933
Ac 4.4016 7.2635 -3.8369
Ac -1.7146 7.5015 -3.6325
Ac 2.9940 3.7508 -3.6343
Ac 1.3902 -0.0033 6.1293
Ac 4.9304 1.3583 3.6520
Ac -0.8601 3.7474 4.9707
Ac 0.8614 5.9019 -1.3595
Ac 6.6519 3.5128 -2.6782
Ac 3.1117 2.1512 -0.2008
Tl 4.3929 5.5055 -0.6709
Tl 1.3989 1.7547 2.9634
Pt 0.4505 2.7097 -1.8172
Pt 4.6833 1.0411 -2.8272
Pt 1.1084 6.2191 5.1197
Pt 5.5376 4.7918 -5.4514

***

(5)
7
Lattice="-1.7638 -1.4035 -3.4032 3.6326 -4.0033 -0.2317 -4.0049 -1.1053 4.9797" Properties=species:S:1:pos:R:3 comment="GGA-PBE Zr4Co3, optimized geometry" polymorph_energy_ev_per_fu=0.000 density_g_cm3=7.03 m_tot_mub_per_cell=0.00 pbc="T T T"
Zr -0.6768 -2.1964 -1.1915
Zr -1.4593 -4.3157 2.5362
Zr -3.4831 -2.7441 0.4888
Zr 1.3469 -3.7680 0.8559
Co 0.0000 0.0000 0.0000
Co -1.0655 -4.4681 -0.0532
Co -1.0707 -2.0441 1.3979